# 1
Computed, not measured: a geometry-optimized KCd2SbPt structure at the PBE-GGA level of DFT.

abc: 5.306 5.306 5.303
angles: 90.00 90.00 90.00
Space group P4/mmm (No. 123)
Asymmetric unit:
K 0.000 0.000 0.000 x1
Cd 0.000 0.500 0.500 x2
Sb 0.500 0.500 0.000 x1
Pt 0.500 0.500 0.500 x1

Values from the calculation:
Its uncorrected formation energy is -19.27 kJ/mol of atoms. The crystal system is tetragonal.



# 2
Computed, not measured: a geometry-optimized K2CdSb3Pt4 structure at the PBE-GGA level of DFT.

abc: 4.791 4.791 10.465
angles: 90.00 90.00 90.00
Space group P-4m2 (No. 115)
Asymmetric unit:
K 0.000 0.500 0.249 x2
Cd 0.000 0.000 0.500 x1
Sb 0.000 0.500 0.879 x2
Sb 0.500 0.500 0.500 x1
Pt 0.000 0.000 0.000 x1
Pt 0.000 0.500 0.626 x2
Pt 0.500 0.500 0.000 x1

Values from the calculation:
Its uncorrected formation energy is -43.55 kJ/mol of atoms. The crystal system is tetragonal.



# 3
Computed, not measured: a geometry-optimized KCdSi2Pt structure at the PBE-GGA level of DFT.

abc: 5.185 5.185 5.386
angles: 90.00 90.00 90.00
Space group P4/mmm (No. 123)
Asymmetric unit:
K 0.000 0.000 0.000 x1
Cd 0.000 0.000 0.500 x1
Si 0.000 0.500 0.000 x2
Pt 0.500 0.500 0.500 x1

Values from the calculation:
Its uncorrected formation energy is 202.96 kJ/mol of atoms. The crystal system is tetragonal.



# 4
Computed, not measured: a geometry-optimized K2CdSn3Pt4 structure at the PBE-GGA level of DFT.

abc: 4.755 4.755 10.689
angles: 90.00 90.00 90.00
Space group P-4m2 (No. 115)
Asymmetric unit:
K 0.000 0.500 0.246 x2
Cd 0.000 0.000 0.500 x1
Sn 0.000 0.500 0.880 x2
Sn 0.500 0.500 0.500 x1
Pt 0.000 0.000 0.000 x1
Pt 0.000 0.500 0.630 x2
Pt 0.500 0.500 0.000 x1

Values from the calculation:
The formation energy is -10.2 kcal/mol of atoms. The crystal system is tetragonal.



# 5
Computed, not measured: a geometry-optimized K2CdSn4Pt3 structure at the PBE-GGA level of DFT.

abc: 4.815 4.815 10.910
angles: 90.00 90.00 90.00
Space group P-4m2 (No. 115)
Asymmetric unit:
K 0.000 0.500 0.249 x2
Cd 0.500 0.500 0.000 x1
Sn 0.000 0.000 0.500 x1
Sn 0.000 0.500 0.863 x2
Sn 0.500 0.500 0.500 x1
Pt 0.000 0.000 0.000 x1
Pt 0.000 0.500 0.617 x2

Values from the calculation:
The formation energy is -9.0 kcal/mol of atoms. The crystal system is tetragonal.



# 6
Computed, not measured: a geometry-optimized K2TlCdPt structure at the PBE-GGA level of DFT.

abc: 6.205 6.205 5.278
angles: 90.00 90.00 90.00
Space group P4/mmm (No. 123)
Asymmetric unit:
K 0.000 0.500 0.000 x2
Tl 0.000 0.000 0.500 x1
Cd 0.500 0.500 0.500 x1
Pt 0.000 0.000 0.000 x1

Values from the calculation:
The formation energy is -0.3 kcal/mol of atoms. The crystal system is tetragonal.



# 7
Computed, not measured: a geometry-optimized K2TlCdPt structure at the PBE-GGA level of DFT.

abc: 6.288 6.288 5.394
angles: 90.00 90.00 90.00
Space group P4/mmm (No. 123)
Asymmetric unit:
K 0.000 0.500 0.000 x2
Tl 0.000 0.000 0.000 x1
Cd 0.000 0.000 0.500 x1
Pt 0.500 0.500 0.500 x1

Values from the calculation:
The formation energy is 15.3 kcal/mol of atoms. The crystal system is tetragonal.



# 8
Computed, not measured: a geometry-optimized K2TlCdPt structure at the PBE-GGA level of DFT.

abc: 6.119 6.119 5.247
angles: 90.00 90.00 90.00
Space group P4/mmm (No. 123)
Asymmetric unit:
K 0.000 0.500 0.000 x2
Tl 0.000 0.000 0.500 x1
Cd 0.500 0.500 0.500 x1
Pt 0.500 0.500 0.000 x1

Values from the calculation:
The formation energy is 1.9 kcal/mol of atoms. The crystal system is tetragonal.



The uncorrected energy results, record by record, are as follows: -2.818 -4.415 -1.676 -4.370 -4.115 -2.314 -1.641 -2.222 eV/atom.
The total moment results, record by record, are as follows: 0.00 0.00 0.00 0.00 0.00 0.02 0.00 0.02 μB/f.u..